# VH10C2O10, relaxed, DFT GGA-PBEsol
# Uncorrected energy (eV per atom): -6.1997
# Mass density (g/cm³): 1.99
# M_tot (Bohr magnetons per cell): 4.00
data_VH10C2O10
_chemical_formula_sum 'V4 H40 C8 O40'
_symmetry_space_group_name_H-M 'P 1'
_symmetry_Int_Tables_number 1
_cell_length_a 7.017
_cell_length_b 8.553
_cell_length_c 13.693
_cell_angle_alpha 90.00
_cell_angle_beta 95.56
_cell_angle_gamma 90.00
loop_
_symmetry_equiv_pos_as_xyz
'x,y,z'
loop_
_atom_site_label
_atom_site_type_symbol
_atom_site_fract_x
_atom_site_fract_y
_atom_site_fract_z
V1 V 0.304 0.235 0.986
V2 V 0.304 0.265 0.486
V3 V 0.696 0.735 0.514
V4 V 0.696 0.765 0.014
H1 H 0.046 0.752 0.954
H2 H 0.976 0.045 0.759
H3 H 0.062 0.691 0.571
H4 H 0.046 0.748 0.454
H5 H 0.097 0.889 0.765
H6 H 0.976 0.455 0.259
H7 H 0.154 0.411 0.841
H8 H 0.062 0.809 0.071
H9 H 0.097 0.611 0.265
H10 H 0.192 0.026 0.628
H11 H 0.245 0.524 0.646
H12 H 0.154 0.089 0.341
H13 H 0.275 0.697 0.691
H14 H 0.192 0.474 0.128
H15 H 0.309 0.951 0.545
H16 H 0.382 0.368 0.828
H17 H 0.245 0.976 0.146
H18 H 0.275 0.803 0.191
H19 H 0.309 0.549 0.045
H20 H 0.382 0.132 0.328
H21 H 0.618 0.868 0.672
H22 H 0.691 0.451 0.955
H23 H 0.725 0.197 0.809
H24 H 0.755 0.024 0.854
H25 H 0.618 0.632 0.172
H26 H 0.691 0.049 0.455
H27 H 0.808 0.526 0.872
H28 H 0.725 0.303 0.309
H29 H 0.846 0.911 0.659
H30 H 0.755 0.476 0.354
H31 H 0.808 0.974 0.372
H32 H 0.903 0.389 0.735
H33 H 0.938 0.191 0.929
H34 H 0.846 0.589 0.159
H35 H 0.024 0.545 0.741
H36 H 0.903 0.111 0.235
H37 H 0.954 0.252 0.546
H38 H 0.938 0.309 0.429
H39 H 0.024 0.955 0.241
H40 H 0.954 0.248 0.046
C1 C 0.345 0.757 0.897
C2 C 0.345 0.743 0.397
C3 C 0.495 0.812 0.830
C4 C 0.505 0.312 0.670
C5 C 0.495 0.688 0.330
C6 C 0.505 0.188 0.170
C7 C 0.655 0.257 0.603
C8 C 0.655 0.243 0.103
O1 O 0.023 0.244 0.985
O2 O 0.037 0.967 0.717
O3 O 0.023 0.256 0.485
O4 O 0.037 0.533 0.217
O5 O 0.172 0.755 0.864
O6 O 0.176 0.622 0.662
O7 O 0.172 0.745 0.364
O8 O 0.287 0.389 0.877
O9 O 0.320 0.076 0.926
O10 O 0.176 0.878 0.162
O11 O 0.284 0.049 0.579
O12 O 0.287 0.111 0.377
O13 O 0.343 0.351 0.625
O14 O 0.412 0.718 0.984
O15 O 0.320 0.424 0.426
O16 O 0.284 0.451 0.079
O17 O 0.453 0.818 0.740
O18 O 0.343 0.149 0.125
O19 O 0.412 0.782 0.484
O20 O 0.547 0.318 0.760
O21 O 0.453 0.682 0.240
O22 O 0.588 0.218 0.516
O23 O 0.657 0.851 0.875
O24 O 0.547 0.182 0.260
O25 O 0.716 0.549 0.921
O26 O 0.680 0.576 0.574
O27 O 0.588 0.282 0.016
O28 O 0.657 0.649 0.375
O29 O 0.713 0.889 0.623
O30 O 0.716 0.951 0.421
O31 O 0.824 0.122 0.838
O32 O 0.680 0.924 0.074
O33 O 0.713 0.611 0.123
O34 O 0.828 0.255 0.636
O35 O 0.824 0.378 0.338
O36 O 0.828 0.245 0.136
O37 O 0.963 0.467 0.783
O38 O 0.977 0.744 0.515
O39 O 0.963 0.033 0.283
O40 O 0.977 0.756 0.015